Entry from the Open Quantum Materials Database: a relaxed structure of ZnAs2O (PBE).

Summary:
- energy above the lowest structure with this stoichiometry (meV/atom) = 354
- electronic total energy (eV/atom) = -4.080

Structure (POSCAR):
```
ZnAs2O
1.0
3.7857 0.0000 0.0000
0.0000 3.7857 0.0000
0.0000 0.0000 8.7260
Zn As O
2 4 2
Direct
0.2500 0.7500 0.0000
0.7500 0.2500 0.0000
0.2500 0.2500 0.1951
0.2500 0.2500 0.6216
0.7500 0.7500 0.3784
0.7500 0.7500 0.8049
0.2500 0.7500 0.5000
0.7500 0.2500 0.5000
```

Entry from the Open Quantum Materials Database: a relaxed structure of ZnAs2O (PBE).

Summary:
- energy above the lowest structure with this stoichiometry (meV/atom) = 0
- electronic total energy (eV/atom) = -4.435

Structure (POSCAR):
```
ZnAs2O
1.0
3.5030 0.0000 0.0000
0.0000 7.3029 0.0000
0.0000 0.0000 6.0726
Zn As O
2 4 2
Direct
0.0000 0.1627 0.0000
0.0000 0.8373 0.5000
0.0000 0.1719 0.4057
0.0000 0.8281 0.9057
0.5000 0.3527 0.5889
0.5000 0.6473 0.0889
0.5000 0.2414 0.8621
0.5000 0.7586 0.3621
```

Entry from the Open Quantum Materials Database: a relaxed structure of ZnAs2O (PBE).

Summary:
- energy above the lowest structure with this stoichiometry (meV/atom) = 282
- electronic total energy (eV/atom) = -4.153

Structure (POSCAR):
```
ZnAs2O
1.0
4.3122 0.0000 0.0000
0.0000 4.3122 0.0000
0.0000 0.0000 8.2376
Zn As O
2 4 2
Direct
0.2500 0.2500 0.0073
0.7500 0.7500 0.9927
0.2500 0.2500 0.3413
0.2500 0.7500 0.5000
0.7500 0.2500 0.5000
0.7500 0.7500 0.6587
0.2500 0.7500 0.0000
0.7500 0.2500 0.0000
```

Entry from the Open Quantum Materials Database: a relaxed structure of ZnAs2O4 (PBE).

Summary:
- electronic total energy (eV/atom) = -5.621

Structure (POSCAR):
```
ZnAs2O4
1.0
4.5171 0.0000 0.0000
0.0000 4.9819 0.0000
-0.2797 0.0000 17.4690
Zn As O
4 8 16
Direct
0.2452 0.0108 0.2487
0.2452 0.4892 0.7487
0.7548 0.5108 0.2513
0.7548 0.9892 0.7513
0.0086 0.7314 0.0876
0.0086 0.7686 0.5876
0.4931 0.7197 0.9098
0.4931 0.7803 0.4098
0.5069 0.2197 0.5902
0.5069 0.2803 0.0902
0.9914 0.2314 0.4124
0.9914 0.2686 0.9124
0.0140 0.2322 0.8106
0.0140 0.2678 0.3106
0.1008 0.6253 0.9158
0.1008 0.8747 0.4158
0.4007 0.6373 0.0807
0.4007 0.8627 0.5807
0.4968 0.2387 0.6921
0.4968 0.2613 0.1921
0.5032 0.7387 0.8079
0.5032 0.7613 0.3079
0.5993 0.1373 0.4193
0.5993 0.3627 0.9193
0.8992 0.1253 0.5842
0.8992 0.3747 0.0842
0.9860 0.7322 0.6894
0.9860 0.7678 0.1894
```

Entry from the Open Quantum Materials Database: a relaxed structure of Zn2As2O5 (PBE).

Summary:
- energy above the lowest structure with this stoichiometry (meV/atom) = 0
- electronic total energy (eV/atom) = -4.729

Structure (POSCAR):
```
Zn2As2O5
1.0
3.9431 0.0000 0.0000
0.0000 3.9431 0.0000
0.0000 0.0000 6.5249
Zn As O
2 2 5
Direct
0.0000 0.0000 0.0000
0.0000 0.0000 0.5000
0.5000 0.5000 0.2173
0.5000 0.5000 0.7827
0.0000 0.5000 0.2112
0.0000 0.5000 0.7888
0.5000 0.0000 0.2112
0.5000 0.0000 0.7888
0.5000 0.5000 0.5000
```

Entry from the Open Quantum Materials Database: a relaxed structure of Zn2As2O5 (PBE).

Summary:
- energy above the lowest structure with this stoichiometry (meV/atom) = 150
- electronic total energy (eV/atom) = -4.580

Structure (POSCAR):
```
Zn2As2O5
1.0
3.5450 0.0000 0.0000
0.0000 3.5450 0.0000
0.0000 0.0000 8.2414
Zn As O
2 2 5
Direct
0.0000 0.0000 0.2461
0.0000 0.0000 0.7539
0.5000 0.5000 0.0000
0.5000 0.5000 0.5000
0.0000 0.0000 0.0000
0.0000 0.5000 0.3567
0.0000 0.5000 0.6433
0.5000 0.0000 0.3567
0.5000 0.0000 0.6433
```

Entry from the Open Quantum Materials Database: a relaxed structure of ZrZnAsO (PBE).

Summary:
- electronic total energy (eV/atom) = -6.098
- total magnetic moment (μB per cell) = 0.002

Structure (POSCAR):
```
ZrZnAsO
1.0
4.2799 0.0000 0.0000
0.0000 5.7590 0.0000
0.0000 0.0000 5.5896
Zr Zn As O
2 2 2 2
Direct
0.0000 0.1884 0.0000
0.0000 0.8116 0.5000
0.5000 0.1737 0.6225
0.5000 0.8263 0.1225
0.0000 0.3161 0.4789
0.0000 0.6839 0.9789
0.5000 0.1785 0.9949
0.5000 0.8215 0.4949
```

Entry from the Open Quantum Materials Database: a relaxed structure of ZrZnAsO (PBE).

Summary:
- electronic total energy (eV/atom) = -6.098
- total magnetic moment (μB per cell) = 0.001

Structure (POSCAR):
```
ZrZnAsO
1.0
3.6027 0.0000 0.0000
0.0000 6.0298 0.0000
0.0000 0.0000 6.4404
Zr Zn As O
2 2 2 2
Direct
0.0000 0.0288 0.0000
0.0000 0.9712 0.5000
0.5000 0.3916 0.3645
0.5000 0.6084 0.8645
0.5000 0.2328 0.7280
0.5000 0.7672 0.2280
0.0000 0.2356 0.2621
0.0000 0.7644 0.7621
```

Entry from the Open Quantum Materials Database: a relaxed structure of Zr2AsO4 (PBE).

Summary:
- electronic total energy (eV/atom) = -7.972
- total magnetic moment (μB per cell) = 0.039

Structure (POSCAR):
```
Zr2AsO4
1.0
0.0000 4.7190 4.7190
4.7190 0.0000 4.7190
4.7190 4.7190 0.0000
Zr As O
4 2 8
Direct
0.0000 0.0000 0.0000
0.0000 0.0000 0.5000
0.0000 0.5000 0.0000
0.5000 0.0000 0.0000
0.3750 0.3750 0.3750
0.6250 0.6250 0.6250
0.1802 0.7733 0.7733
0.2267 0.2267 0.2267
0.2267 0.2267 0.8198
0.2267 0.8198 0.2267
0.7733 0.1802 0.7733
0.7733 0.7733 0.1802
0.7733 0.7733 0.7733
0.8198 0.2267 0.2267
```

Entry from the Open Quantum Materials Database: a relaxed structure of ZrAs2O (PBE).

Summary:
- electronic total energy (eV/atom) = -6.098
- total magnetic moment (μB per cell) = 0.004

Structure (POSCAR):
```
ZrAs2O
1.0
4.4390 0.0000 0.0000
0.0000 4.4390 0.0000
0.0000 0.0000 7.3870
Zr As O
2 4 2
Direct
0.2500 0.7500 0.0000
0.7500 0.2500 0.0000
0.2500 0.2500 0.1976
0.2500 0.2500 0.5524
0.7500 0.7500 0.4476
0.7500 0.7500 0.8024
0.2500 0.7500 0.5000
0.7500 0.2500 0.5000
```

Entry from the Open Quantum Materials Database: a relaxed structure of ZrAs2O (PBE).

Summary:
- electronic total energy (eV/atom) = -6.836
- total magnetic moment (μB per cell) = 0.011

Structure (POSCAR):
```
ZrAs2O
1.0
3.4790 0.0000 0.0000
0.0000 6.7644 0.0000
0.0000 0.0000 7.8885
Zr As O
2 4 2
Direct
0.0000 0.1521 0.0000
0.0000 0.8479 0.5000
0.0000 0.2080 0.3443
0.0000 0.7920 0.8443
0.5000 0.2188 0.5638
0.5000 0.7812 0.0638
0.5000 0.2828 0.9533
0.5000 0.7171 0.4533
```

Entry from the Open Quantum Materials Database: a relaxed structure of ZrAs2O (PBE).

Summary:
- electronic total energy (eV/atom) = -6.902
- total magnetic moment (μB per cell) = 0.006

Structure (POSCAR):
```
ZrAs2O
1.0
3.6595 0.0000 0.0000
0.0000 3.6595 0.0000
0.0000 0.0000 10.1705
Zr As O
2 4 2
Direct
0.2500 0.2500 0.1213
0.7500 0.7500 0.8787
0.2500 0.2500 0.7415
0.2500 0.7500 0.5000
0.7500 0.2500 0.5000
0.7500 0.7500 0.2585
0.2500 0.7500 0.0000
0.7500 0.2500 0.0000
```